A relaxed structure of TaSiCl2. Source: Alexandria, functional PBE-GGA.

a = 4.5101 Å, b = 3.0723 Å, c = 5.0900 Å
α = 93.10°, β = 90.00°, γ = 90.00°
With the nearest neighbours (Å) after each atom.
Fractional positions:
Cl (0.0000, 0.9353, 0.9954)  2 Ta 2.63, 2 Cl 2.69-2.89, 2 Si 2.75
Cl (0.0000, 0.5647, 0.5046)  2 Ta 2.63, 2 Cl 2.69-2.89, 2 Si 2.75
Si (0.5000, 0.2500, 0.2500)  4 Cl 2.75, 4 Ta 2.90-3.04, 2 Si 3.07
Ta (0.5000, 0.7500, 0.7500)  4 Cl 2.63, 2 Si 2.90

Summary:
space group: P2/m, No. 10
energy relative to the lowest polymorph listed for this composition: 2.394 eV/f.u.
DOS(E_F): 1.8 states/eV per cell
V: 70.4 Å³/f.u.
calculated total energy: -20.50 eV per cell
ΔE_f (raw): 0.1163 eV per atom